An optimized crystal structure of LiFeSO4F, computed with GGA+U.

Properties
size of the total moment: 4.00 μB per formula unit
VASP energy: -96.262 eV per cell
mass density: 3.1 g cm⁻³
space group: P1

Lattice parameters (Å, degrees): 5.249 5.579 7.407 107.07 107.16 97.31
Site moments in Bohr magnetons follow the coordinates.
Sites, in units of the cell vectors:
S  0.674  0.365  0.752  0.01
S  0.323  0.633  0.239  0.01
O  0.400  0.247  0.596  0.01
O  0.322  0.356  0.141  0.02
O  0.101  0.649  0.327  0.01
O  0.274  0.759  0.083  0.01
O  0.723  0.238  0.907  0.01
O  0.677  0.642  0.851  0.02
O  0.596  0.753  0.397  0.01
O  0.894  0.348  0.662  0.01
Li  0.265  0.620  0.784  0.00
Li  0.733  0.375  0.204  0.00
Fe  0.000  0.999  0.995  3.82
Fe  0.998  0.998  0.495  3.79
F  0.112  0.903  0.748  0.05
F  0.886  0.094  0.242  0.05